No. 1
In3HgI after structural relaxation. Source: Alexandria via LeMat-Bulk, functional PBE-GGA.

```
In3HgI
1.0
5.715 0.000 0.000
0.000 5.715 0.000
0.000 0.000 5.715
In Hg I
3 1 1
direct
0.000 0.000 0.500
0.000 0.500 0.000
0.500 0.000 0.000
0.000 0.000 0.000
0.500 0.500 0.500
```

Properties
Calculated volume (Å³ per atom): 37.327
Raw total energy (eV per atom): -1.9525

=====

No. 2
Hf8Sn after structural relaxation. Source: Alexandria via LeMat-Bulk, functional PBE-GGA.

```
Hf8Sn
1.0
-4.794 4.794 2.173
4.794 -4.794 2.173
4.794 4.794 -2.173
Hf Sn
8 1
direct
0.000 0.335 0.335
0.000 0.665 0.665
0.332 0.332 0.663
0.332 0.668 0.000
0.335 0.000 0.335
0.665 0.000 0.665
0.668 0.332 0.000
0.668 0.668 0.337
0.000 0.000 0.000
```

Properties
Calculated volume (Å³ per atom): 22.195
Raw total energy (eV per atom): -9.3995
Formation enthalpy at 0 K (eV/atom): -0.11

=====

No. 3
Er3In2Hg7 after structural relaxation. Source: Alexandria via LeMat-Bulk, functional PBE-GGA.

```
Er3In2Hg7
1.0
2.458 -15.176 0.000
2.458 15.176 0.000
0.000 0.000 4.227
Er In Hg
3 2 7
direct
0.000 0.000 0.000
0.150 0.850 0.000
0.850 0.150 0.000
0.341 0.659 0.500
0.659 0.341 0.500
0.075 0.925 0.500
0.225 0.775 0.500
0.421 0.579 0.000
0.500 0.500 0.500
0.579 0.421 0.000
0.775 0.225 0.500
0.925 0.075 0.500
```

Properties
Calculated volume (Å³ per atom): 26.274
Raw total energy (eV per atom): -1.9813
Formation enthalpy at 0 K (eV/atom): -0.21

=====

Which of these has the lowest calculated volume? Hf8Sn

=====

What did the third record say?
Er3In2Hg7 after structural relaxation. Source: Alexandria via LeMat-Bulk, functional PBE-GGA.

```
Er3In2Hg7
1.0
2.458 -15.176 0.000
2.458 15.176 0.000
0.000 0.000 4.227
Er In Hg
3 2 7
direct
0.000 0.000 0.000
0.150 0.850 0.000
0.850 0.150 0.000
0.341 0.659 0.500
0.659 0.341 0.500
0.075 0.925 0.500
0.225 0.775 0.500
0.421 0.579 0.000
0.500 0.500 0.500
0.579 0.421 0.000
0.775 0.225 0.500
0.925 0.075 0.500
```

Properties
Calculated volume (Å³ per atom): 26.274
Raw total energy (eV per atom): -1.9813
Formation enthalpy at 0 K (eV/atom): -0.21